# 1
TlCuRe2: optimized geometry, GGA-PBE.

Unit cell a=3.0638 b=3.0638 c=7.0345 alpha=90.00 beta=90.00 gamma=90.00
Last column: nearest neighbours and their distance in Å.
Element x y z (fractional)
Re1 0.0000 0.0000 0.9352  4 Cu 2.53, 1 Re 2.60
Re2 0.0000 0.0000 0.5648  4 Cu 2.53, 1 Re 2.60
Tl1 0.5000 0.5000 0.2500  4 Tl 3.06, 8 Re 3.10
Cu1 0.5000 0.5000 0.7500  8 Re 2.53

Results
Offset from the most stable computed form = 0.432 eV/atom
Space group = P4/mmm, No. 123
Energy of formation from the pure elements = 0.8870 eV/atom

---

# 2
RbTaSiAs2: optimized geometry, GGA-PBE.

Unit cell a=5.0104 b=6.8129 c=5.0104 alpha=90.00 beta=90.00 gamma=90.00
Last column: nearest neighbours and their distance in Å.
Element x y z (fractional)
Si1 0.5000 0.5000 0.5000  4 Rb 3.54
Ta1 0.0000 0.0000 0.0000  4 As 2.51
Rb1 0.0000 0.5000 0.0000  2 Ta 3.41, 4 Si 3.54
As1 0.5000 0.0000 0.0000  2 Ta 2.51
As2 0.0000 0.0000 0.5000  2 Ta 2.51

Results
E_form (uncorrected) = 0.96 eV per atom
Space group = P4/mmm, No. 123

---

# 3
LiPuMnOs: optimized geometry, GGA-PBE.

Unit cell a=4.4406 b=4.4406 c=4.4406 alpha=60.00 beta=60.00 gamma=60.00
Last column: nearest neighbours and their distance in Å.
Element x y z (fractional)
Mn1 0.7500 0.7500 0.7500  4 Li 2.72, 4 Pu 2.72
Pu1 0.5000 0.5000 0.5000  4 Mn 2.72, 4 Os 2.72
Os1 0.2500 0.2500 0.2500  4 Li 2.72, 4 Pu 2.72
Li1 0.0000 0.0000 0.0000  4 Os 2.72, 4 Mn 2.72

Results
Space group = F-43m, No. 216
Energy of formation from the pure elements = 0.1753 eV/atom

---

# 4
NiSbP: optimized geometry, GGA-PBE.

Unit cell a=3.8578 b=5.3346 c=5.8036 alpha=103.60 beta=104.63 gamma=98.03
Last column: nearest neighbours and their distance in Å.
Element x y z (fractional)
P1 0.2610 0.1753 0.0219  2 Ni 2.20-2.21
P2 0.5749 0.6964 0.8398  3 Ni 2.22-2.25
Sb1 0.9245 0.4495 0.2901  2 Ni 2.55-2.65, 2 P 2.59-2.64
Sb2 0.5251 0.0008 0.5304  3 Ni 2.56-2.68, 1 P 2.68
Ni1 0.1635 0.7681 0.0499  3 P 2.20-2.25
Ni2 0.1459 0.3263 0.6929  2 P 2.21-2.22

Results
E_form (uncorrected) = -0.13 eV per atom
Offset from the most stable computed form = 0.106 eV/atom
Space group = P1, No. 1

---

# 5
K2BeVRu: optimized geometry, GGA-PBE.

Unit cell a=6.0880 b=4.2961 c=6.0880 alpha=90.00 beta=90.00 gamma=90.00
Last column: nearest neighbours and their distance in Å.
Element x y z (fractional)
K1 0.0000 0.0000 0.5000  2 V 3.04
K2 0.5000 0.0000 0.0000  2 V 3.04
Ru1 0.5000 0.5000 0.5000  8 K 3.73
V1 0.0000 0.0000 0.0000  2 Be 2.15
Be1 0.0000 0.5000 0.0000  2 V 2.15

Results
Space group = P4/mmm, No. 123
Energy of formation from the pure elements = 2.2150 eV/atom

---

# 6
Cr2P2Pd: optimized geometry, GGA-PBE.

Unit cell a=6.6347 b=6.6347 c=2.8798 alpha=90.00 beta=90.00 gamma=90.00
Last column: nearest neighbours and their distance in Å.
Element x y z (fractional)
P1 0.1489 0.3511 0.0000  6 Cr 2.41-2.43, 2 Pd 2.53
P2 0.8511 0.6489 0.0000  6 Cr 2.41-2.43, 2 Pd 2.53
P3 0.6489 0.1489 0.0000  6 Cr 2.41-2.43, 2 Pd 2.53
P4 0.3511 0.8511 0.0000  6 Cr 2.41-2.43, 2 Pd 2.53
Cr1 0.8577 0.3577 0.5000  6 P 2.41-2.43, 1 Cr 2.67
Cr2 0.6423 0.8577 0.5000  6 P 2.41-2.43, 1 Cr 2.67
Cr3 0.1423 0.6423 0.5000  6 P 2.41-2.43, 1 Cr 2.67
Cr4 0.3577 0.1423 0.5000  6 P 2.41-2.43, 1 Cr 2.67
Pd1 0.0000 0.0000 0.0000  4 P 2.53
Pd2 0.5000 0.5000 0.0000  4 P 2.53

Results
Space group = P4/mbm, No. 127
Energy of formation from the pure elements = -0.3154 eV/atom

---

# 7
TmGaCo2C: optimized geometry, GGA-PBE.

Unit cell a=3.7389 b=5.6110 c=6.8818 alpha=90.00 beta=90.00 gamma=109.46
Last column: nearest neighbours and their distance in Å.
Element x y z (fractional)
Co1 0.1603 0.3205 0.9416  1 C 1.74
Co2 0.8397 0.6795 0.0584  1 C 1.74
Co3 0.1603 0.3205 0.5584  1 C 1.74
Co4 0.8397 0.6795 0.4416  1 C 1.74
Ga1 0.2692 0.5384 0.2500  6 Co 2.41-2.42
Ga2 0.7308 0.4616 0.7500  6 Co 2.41-2.42
Tm1 0.5485 0.0969 0.2500  4 C 2.59
Tm2 0.4515 0.9031 0.7500  4 C 2.59
C1 0.0000 0.0000 0.5000  2 Co 1.74
C2 0.0000 0.0000 0.0000  2 Co 1.74

Results
Space group = Cmcm, No. 63
Energy of formation from the pure elements = -0.3922 eV/atom

---

# 8
MnHgH: optimized geometry, GGA-PBE.

Unit cell a=5.0456 b=2.7852 c=5.9726 alpha=90.00 beta=102.18 gamma=90.00
Last column: nearest neighbours and their distance in Å.
Element x y z (fractional)
Mn1 0.9231 0.0000 0.3422  2 H 1.68, 1 Mn 1.88
Mn2 0.0769 0.0000 0.6578  2 H 1.68, 1 Mn 1.88
H1 0.7330 0.5000 0.3314  2 Mn 1.68
H2 0.2670 0.5000 0.6686  2 Mn 1.68
Hg1 0.6894 0.5000 0.8205  1 H 2.13
Hg2 0.3106 0.5000 0.1795  1 H 2.13

Results
Offset from the most stable computed form = 0.267 eV/atom
Space group = P2/m, No. 10

---

# 9
Tb2NdSm8: optimized geometry, GGA-PBE.

Unit cell a=5.6528 b=8.2671 c=9.4542 alpha=115.93 beta=107.39 gamma=90.00
Last column: nearest neighbours and their distance in Å.
Element x y z (fractional)
Sm1 0.6379 0.4330 0.2758  1 Nd 3.29, 4 Sm 3.39-3.61, 3 Tb 3.44-3.57
Sm2 0.3621 0.1572 0.7241  1 Nd 3.29, 4 Sm 3.39-3.61, 3 Tb 3.44-3.57
Sm3 0.8370 0.8370 0.6740  8 Sm 3.57-3.76, 2 Tb 3.58, 2 Nd 3.85
Sm4 0.1630 0.1630 0.3260  8 Sm 3.57-3.76, 2 Tb 3.58, 2 Nd 3.85
Sm5 0.0000 0.2948 0.0000  7 Sm 3.39-3.59, 2 Tb 3.63, 2 Nd 3.73
Sm6 0.6379 0.8428 0.2759  1 Nd 3.29, 4 Sm 3.39-3.61, 3 Tb 3.44-3.57
Sm7 0.3621 0.5670 0.7242  1 Nd 3.29, 4 Sm 3.39-3.61, 3 Tb 3.44-3.57
Sm8 0.0000 0.7052 0.0000  7 Sm 3.39-3.59, 2 Tb 3.63, 2 Nd 3.73
Tb1 0.8000 0.3001 0.6001  10 Sm 3.44-3.63
Tb2 0.2000 0.6999 0.3999  10 Sm 3.44-3.63
Nd1 0.5000 0.0000 0.0000  4 Sm 3.29

Results
Offset from the most stable computed form = 0.000 eV/atom
Space group = Immm, No. 71
Energy of formation from the pure elements = 0.1097 eV/atom

---

# 10
Ac2Br2O: optimized geometry, GGA-PBE.

Unit cell a=4.7146 b=4.7146 c=14.3680 alpha=90.00 beta=90.00 gamma=90.00
Last column: nearest neighbours and their distance in Å.
Element x y z (fractional)
O1 0.5000 0.5000 0.0000  2 Ac 2.22
Br1 0.5000 0.5000 0.3513  1 Ac 2.83
Br2 0.5000 0.5000 0.6487  1 Ac 2.83
Ac1 0.5000 0.5000 0.8457  1 O 2.22
Ac2 0.5000 0.5000 0.1543  1 O 2.22

Results
E_form (uncorrected) = -1.32 eV per atom
Space group = P4/mmm, No. 123

---

# 11
Hf8TcPb2: optimized geometry, GGA-PBE.

Unit cell a=4.7338 b=5.9612 c=9.5327 alpha=106.38 beta=104.38 gamma=90.00
Last column: nearest neighbours and their distance in Å.
Element x y z (fractional)
Hf1 0.5833 0.4924 0.1666  1 Tc 2.89, 5 Hf 3.10-3.20, 2 Pb 3.19
Hf2 0.0196 0.7693 0.0393  2 Tc 2.81, 1 Pb 2.98, 4 Hf 3.04-3.15
Hf3 0.6440 0.0535 0.2880  1 Tc 2.58
Hf4 0.7719 0.6510 0.5439  4 Hf 2.94-3.09, 4 Pb 2.97-3.21
Hf5 0.3560 0.9465 0.7120  1 Tc 2.58
Hf6 0.9804 0.2307 0.9607  2 Tc 2.81, 1 Pb 2.98, 4 Hf 3.04-3.15
Hf7 0.2281 0.3490 0.4561  4 Hf 2.94-3.09, 4 Pb 2.97-3.21
Hf8 0.4167 0.5076 0.8334  1 Tc 2.89, 5 Hf 3.10-3.20, 2 Pb 3.19
Pb1 0.8175 0.2127 0.6350  10 Hf 2.97-3.21
Pb2 0.1825 0.7873 0.3650  10 Hf 2.97-3.21
Tc1 0.5000 0.0000 0.0000  8 Hf 2.58-2.89

Results
Space group = C2/m, No. 12
Energy of formation from the pure elements = 0.0396 eV/atom

---

# 12
Sb2MoCl: optimized geometry, GGA-PBE.

Unit cell a=9.7782 b=9.7782 c=9.7782 alpha=19.86 beta=19.86 gamma=19.86
Last column: nearest neighbours and their distance in Å.
Element x y z (fractional)
Sb1 0.0156 0.0156 0.0156  3 Mo 2.73
Sb2 0.2618 0.2618 0.2618  9 Sb 3.17-3.37
Cl1 0.4737 0.4737 0.4737  3 Mo 2.57
Mo1 0.7489 0.7489 0.7489  3 Cl 2.57, 3 Sb 2.73

Results
E_form (uncorrected) = 0.08 eV per atom
Offset from the most stable computed form = 0.092 eV/atom
Space group = R3m, No. 160

---

# 13
LaSnCl2: optimized geometry, GGA-PBE.

Unit cell a=10.2662 b=10.2662 c=10.2662 alpha=20.54 beta=20.54 gamma=20.54
Last column: nearest neighbours and their distance in Å.
Element x y z (fractional)
Cl1 0.9004 0.9004 0.9004  3 La 2.92, 1 Sn 3.00
Cl2 0.0996 0.0996 0.0996  3 La 2.92, 1 Sn 3.00
La1 0.5000 0.5000 0.5000  6 Cl 2.92
Sn1 0.0000 0.0000 0.0000  2 Cl 3.00

Results
E_form (uncorrected) = -1.27 eV per atom
Offset from the most stable computed form = 0.000 eV/atom
Space group = R-3m, No. 166

---

# 14
RbScCl3: optimized geometry, GGA-PBE.

Unit cell a=5.9467 b=7.4381 c=7.4381 alpha=120.00 beta=90.00 gamma=90.00
Last column: nearest neighbours and their distance in Å.
Element x y z (fractional)
Sc1 0.5000 0.0000 0.0000  6 Cl 2.59
Sc2 0.0000 0.0000 0.0000  6 Cl 2.59
Cl1 0.2500 0.1651 0.8349  2 Sc 2.59
Cl2 0.2500 0.1651 0.3301  2 Sc 2.59
Cl3 0.7500 0.8349 0.6699  2 Sc 2.59
Cl4 0.2500 0.6699 0.8349  2 Sc 2.59
Cl5 0.7500 0.8349 0.1651  2 Sc 2.59
Cl6 0.7500 0.3301 0.1651  2 Sc 2.59
Rb1 0.7500 0.3333 0.6667  12 Cl 3.68-3.72
Rb2 0.2500 0.6667 0.3333  12 Cl 3.68-3.72

Results
E_form (uncorrected) = -1.94 eV per atom
Space group = P6_3/mmc, No. 194

---

# 15
LiCu2Ru: optimized geometry, GGA-PBE.

Unit cell a=5.1170 b=5.1170 c=5.1170 alpha=151.04 beta=129.33 gamma=59.42
Last column: nearest neighbours and their distance in Å.
Element x y z (fractional)
Cu1 0.9932 0.9932 0.0000  2 Li 2.51, 6 Cu 2.54-2.56, 2 Ru 2.62
Cu2 0.5068 0.5068 0.0000  2 Li 2.51, 6 Cu 2.54-2.56, 2 Ru 2.62
Li1 0.7500 0.2500 0.5000  4 Cu 2.51, 4 Ru 2.54, 2 Li 2.56
Ru1 0.2500 0.7500 0.5000  4 Li 2.54, 2 Ru 2.56, 4 Cu 2.62

Results
Offset from the most stable computed form = 0.187 eV/atom
Space group = Immm, No. 71
Energy of formation from the pure elements = 0.2237 eV/atom

---

# 16
MgNb2Zn2: optimized geometry, GGA-PBE.

Unit cell a=7.8761 b=7.8761 c=2.9729 alpha=90.00 beta=90.00 gamma=90.00
Last column: nearest neighbours and their distance in Å.
Element x y z (fractional)
Zn1 0.3210 0.1790 0.5000  6 Nb 2.70-2.82, 2 Zn 2.97
Zn2 0.8210 0.3210 0.5000  6 Nb 2.70-2.82, 2 Zn 2.97
Zn3 0.6790 0.8210 0.5000  6 Nb 2.70-2.82, 2 Zn 2.97
Zn4 0.1790 0.6790 0.5000  6 Nb 2.70-2.82, 2 Zn 2.97
Nb1 0.3815 0.8815 0.0000  1 Nb 2.64, 6 Zn 2.70-2.82
Nb2 0.1185 0.3815 0.0000  1 Nb 2.64, 6 Zn 2.70-2.82
Nb3 0.8815 0.6185 0.0000  1 Nb 2.64, 6 Zn 2.70-2.82
Nb4 0.6185 0.1185 0.0000  1 Nb 2.64, 6 Zn 2.70-2.82
Mg1 0.0000 0.0000 0.0000  2 Mg 2.97, 4 Nb 3.15, 8 Zn 3.25
Mg2 0.5000 0.5000 0.0000  2 Mg 2.97, 4 Nb 3.15, 8 Zn 3.25

Results
Offset from the most stable computed form = 0.084 eV/atom
Space group = P4/mbm, No. 127
Energy of formation from the pure elements = 0.2278 eV/atom

---

# 17
Cs2NbRuBr6: optimized geometry, GGA-PBE.

Unit cell a=7.6172 b=7.6172 c=7.5888 alpha=59.88 beta=59.88 gamma=90.00
Last column: nearest neighbours and their distance in Å.
Element x y z (fractional)
Br1 0.2483 0.2483 0.5034  1 Ru 2.65, 1 Nb 2.69
Br2 0.7502 0.7502 0.0000  1 Ru 2.69, 1 Nb 2.69
Br3 0.2498 0.2498 0.0000  1 Ru 2.69, 1 Nb 2.69
Br4 0.2498 0.7502 0.0000  1 Ru 2.69, 1 Nb 2.69
Br5 0.7517 0.7517 0.4966  1 Ru 2.65, 1 Nb 2.69
Br6 0.7502 0.2498 0.0000  1 Ru 2.69, 1 Nb 2.69
Cs1 0.7500 0.2500 0.5000  12 Br 3.79-3.81
Cs2 0.2500 0.7500 0.5000  12 Br 3.79-3.81
Nb1 0.5000 0.5000 0.0000  6 Br 2.69
Ru1 0.0000 0.0000 0.0000  6 Br 2.65-2.69

Results
E_form (uncorrected) = -0.77 eV per atom
Space group = I4/mmm, No. 139

---

# 18
HfZnAsO6: optimized geometry, GGA-PBE.

Unit cell a=5.2159 b=5.2159 c=8.7289 alpha=90.00 beta=90.00 gamma=120.00
Last column: nearest neighbours and their distance in Å.
Element x y z (fractional)
O1 0.6638 0.6311 0.6328  1 As 1.87
O2 0.0327 0.6638 0.3672  1 As 1.87
O3 0.3689 0.3362 0.8672  1 As 1.87
O4 0.6311 0.9673 0.3672  1 As 1.87
O5 0.3362 0.3689 0.3672  1 As 1.87
O6 0.3689 0.0327 0.6328  1 As 1.87
O7 0.6638 0.0327 0.8672  1 As 1.87
O8 0.9673 0.3362 0.6328  1 As 1.87
O9 0.9673 0.6311 0.8672  1 As 1.87
O10 0.0327 0.3689 0.1328  1 As 1.87
O11 0.3362 0.9673 0.1328  1 As 1.87
O12 0.6311 0.6638 0.1328  1 As 1.87
As1 0.6667 0.3333 0.7500  6 O 1.87
As2 0.3333 0.6667 0.2500  6 O 1.87
Zn1 0.0000 0.0000 0.5000  6 O 2.18
Zn2 0.0000 0.0000 0.0000  6 O 2.18
Hf1 0.6667 0.3333 0.2500  6 O 2.09
Hf2 0.3333 0.6667 0.7500  6 O 2.09

Results
E_form (uncorrected) = -1.74 eV per atom
Space group = P-31c, No. 163

---

# 19
KGaSnPb: optimized geometry, GGA-PBE.

Unit cell a=5.5060 b=5.5060 c=5.5060 alpha=60.00 beta=60.00 gamma=60.00
Last column: nearest neighbours and their distance in Å.
Element x y z (fractional)
K1 0.7500 0.7500 0.7500  4 Ga 3.37, 4 Pb 3.37
Pb1 0.0000 0.0000 0.0000  4 Sn 3.37, 4 K 3.37
Sn1 0.2500 0.2500 0.2500  4 Pb 3.37, 4 Ga 3.37
Ga1 0.5000 0.5000 0.5000  4 K 3.37, 4 Sn 3.37

Results
Space group = F-43m, No. 216
Energy of formation from the pure elements = 0.0066 eV/atom

---

# 20
Sn2Bi2Br: optimized geometry, GGA-PBE.

Unit cell a=4.8090 b=4.8090 c=8.1912 alpha=72.93 beta=72.93 gamma=90.00
Last column: nearest neighbours and their distance in Å.
Element x y z (fractional)
Bi1 0.3801 0.3801 0.2398  4 Sn 3.09
Bi2 0.6199 0.6199 0.7602  4 Sn 3.09
Br1 0.0000 0.0000 0.0000  8 Bi 3.84
Sn1 0.7500 0.2500 0.5000  4 Bi 3.09, 4 Sn 3.40
Sn2 0.2500 0.7500 0.5000  4 Bi 3.09, 4 Sn 3.40

Results
E_form (uncorrected) = -0.11 eV per atom
Offset from the most stable computed form = 0.000 eV/atom
Space group = I4/mmm, No. 139